1.
Below is a geometry-optimized BaFeCu3 structure, with properties calculated at the PBE-GGA level.

```
BaFeCu3
1.0
-4.112 -3.060 1.665
3.435 -3.138 2.719
-0.575 3.136 4.345
Ba Cu Fe
1 3 1
Direct
0.000 0.000 0.000
0.000 0.500 0.000
0.000 0.000 0.500
0.500 0.000 0.000
0.500 0.500 0.500
```

Computed properties:
Calculated density, g/cm³: 4.072
Electronic total energy, eV per formula unit: -11.407
Polymorph energy (0 for the lowest one), eV per atom: 1.841
Fermi-level density of states, states/eV/atom: 6.25


2.
Below is a geometry-optimized Ba4FeCu structure, with properties calculated at the PBE-GGA level.

```
Ba4FeCu
1.0
6.804 1.715 1.245
1.569 5.785 3.855
2.713 -0.712 6.552
Ba Fe Cu
4 1 1
Direct
0.876 0.375 0.375
0.375 0.375 0.876
0.375 0.876 0.375
0.375 0.375 0.375
0.000 0.000 0.000
0.750 0.750 0.750
```

Computed properties:
Calculated density, g/cm³: 4.339
Electronic total energy, eV per formula unit: -13.767
Fermi-level density of states, states/eV/atom: 1.43


3.
Below is a geometry-optimized Ba2FeCu structure, with properties calculated at the PBE-GGA level.

```
Ba2FeCu
1.0
4.470 0.000 0.000
0.000 4.773 -0.039
0.000 2.436 6.152
Ba Cu Fe
2 1 1
Direct
0.000 0.984 0.907
0.500 0.263 0.349
0.000 0.667 0.542
0.500 0.587 0.702
```

Computed properties:
Calculated density, g/cm³: 4.969
Electronic total energy, eV per formula unit: -15.049
Polymorph energy (0 for the lowest one), eV per atom: 0.000
Fermi-level density of states, states/eV/atom: 1.43


4.
Below is a geometry-optimized Ba2FeCu structure, with properties calculated at the PBE-GGA level.

```
Ba2FeCu
1.0
0.000 3.943 3.943
3.943 0.000 3.943
3.943 3.943 0.000
Ba Cu Fe
2 1 1
Direct
0.250 0.250 0.250
0.750 0.750 0.750
0.500 0.500 0.500
0.000 0.000 0.000
```

Computed properties:
Calculated density, g/cm³: 5.338
Electronic total energy, eV per formula unit: -14.310
Polymorph energy (0 for the lowest one), eV per atom: 0.185
Fermi-level density of states, states/eV/atom: 4.45


5.
Below is a geometry-optimized Ba2Fe2Cu structure, with properties calculated at the PBE-GGA level.

```
Ba2Fe2Cu
1.0
9.116 0.000 0.000
0.000 9.116 0.000
0.000 0.000 3.231
Ba Cu Fe
4 2 4
Direct
0.299 0.799 0.000
0.799 0.701 0.000
0.701 0.201 0.000
0.201 0.299 0.000
0.000 0.000 0.000
0.500 0.500 0.000
0.077 0.577 0.500
0.577 0.923 0.500
0.923 0.423 0.500
0.423 0.077 0.500
```

Computed properties:
Calculated density, g/cm³: 5.565
Electronic total energy, eV per formula unit: -19.160
Polymorph energy (0 for the lowest one), eV per atom: 0.439
Fermi-level density of states, states/eV/atom: 2.19


6.
Below is a geometry-optimized BaFe2Cu structure, with properties calculated at the PBE-GGA level.

```
BaFe2Cu
1.0
4.321 0.000 0.000
0.000 3.283 0.029
0.000 1.204 6.126
Ba Cu Fe
1 1 2
Direct
0.500 0.250 0.250
0.500 0.750 0.750
0.000 0.948 0.886
0.000 0.552 0.614
```

Computed properties:
Calculated density, g/cm³: 5.983
Electronic total energy, eV per formula unit: -20.337
Fermi-level density of states, states/eV/atom: 1.25


7.
Below is a geometry-optimized Ba2FeCu structure, with properties calculated at the PBE-GGA level.

```
Ba2FeCu
1.0
8.501 -0.405 -0.242
7.511 4.001 -0.242
7.511 1.687 3.636
Ba Cu Fe
2 1 1
Direct
0.000 0.000 0.000
0.500 0.500 0.500
0.250 0.250 0.250
0.750 0.750 0.750
```

Computed properties:
Calculated density, g/cm³: 4.572
Electronic total energy, eV per formula unit: -13.879
Polymorph energy (0 for the lowest one), eV per atom: 0.292
Fermi-level density of states, states/eV/atom: 2.10


8.
Below is a geometry-optimized BaFe2Cu structure, with properties calculated at the PBE-GGA level.

```
BaFe2Cu
1.0
-2.140 4.672 -0.824
-3.163 -4.011 -0.995
-0.991 0.059 2.912
Ba Cu Fe
1 1 2
Direct
0.500 0.000 0.500
0.000 0.500 0.500
0.000 0.000 0.000
0.500 0.500 0.000
```

Computed properties:
Calculated density, g/cm³: 6.835
Electronic total energy, eV per formula unit: -18.620
Fermi-level density of states, states/eV/atom: 1.19


9.
Below is a geometry-optimized BaFe2Cu structure, with properties calculated at the PBE-GGA level.

```
BaFe2Cu
1.0
-3.305 -1.515 2.709
0.864 -3.862 -1.105
2.677 -0.290 3.104
Ba Cu Fe
1 1 2
Direct
0.500 0.500 0.000
0.500 0.000 0.500
0.000 0.000 0.000
0.000 0.500 0.500
```

Computed properties:
Calculated density, g/cm³: 6.780
Electronic total energy, eV per formula unit: -18.976
Fermi-level density of states, states/eV/atom: 0.96


10.
Below is a geometry-optimized BaFe2Cu structure, with properties calculated at the PBE-GGA level.

```
BaFe2Cu
1.0
6.166 -0.013 -0.008
4.750 3.933 -0.008
4.750 1.705 3.544
Ba Cu Fe
1 1 2
Direct
0.250 0.250 0.250
0.750 0.750 0.750
0.060 0.060 0.060
0.440 0.440 0.440
```

Computed properties:
Calculated density, g/cm³: 6.012
Electronic total energy, eV per formula unit: -21.382
Fermi-level density of states, states/eV/atom: 0.87


11.
Below is a geometry-optimized BaFe3Cu structure, with properties calculated at the PBE-GGA level.

```
BaFe3Cu
1.0
-2.929 1.255 -3.471
2.109 -3.068 -2.889
-3.029 -3.349 1.345
Ba Cu Fe
1 1 3
Direct
0.500 0.500 0.500
0.000 0.000 0.000
0.000 0.500 0.000
0.000 0.000 0.500
0.500 0.000 0.000
```

Computed properties:
Calculated density, g/cm³: 5.848
Electronic total energy, eV per formula unit: -26.715
Polymorph energy (0 for the lowest one), eV per atom: 0.000
Fermi-level density of states, states/eV/atom: 1.85


12.
Below is a geometry-optimized Ba2FeCu structure, with properties calculated at the PBE-GGA level.

```
Ba2FeCu
1.0
6.546 0.065 0.000
3.217 5.701 0.000
-4.881 -2.883 3.273
Ba Cu Fe
2 1 1
Direct
0.000 0.000 0.000
0.250 0.750 0.500
0.500 0.500 0.000
0.750 0.250 0.500
```

Computed properties:
Calculated density, g/cm³: 5.388
Electronic total energy, eV per formula unit: -13.828
Polymorph energy (0 for the lowest one), eV per atom: 0.305
Fermi-level density of states, states/eV/atom: 1.59


13.
Below is a geometry-optimized BaFe2Cu structure, with properties calculated at the PBE-GGA level.

```
BaFe2Cu
1.0
-3.323 3.532 0.430
-1.573 -1.838 4.225
4.704 1.072 -0.652
Ba Cu Fe
1 1 2
Direct
0.500 0.500 0.000
0.750 0.250 0.500
0.000 0.000 0.000
0.250 0.750 0.500
```

Computed properties:
Calculated density, g/cm³: 6.439
Electronic total energy, eV per formula unit: -19.277
Fermi-level density of states, states/eV/atom: 0.86


14.
Below is a geometry-optimized BaFe2Cu structure, with properties calculated at the PBE-GGA level.

```
BaFe2Cu
1.0
5.650 0.013 -0.013
2.154 5.224 0.013
-3.066 -3.865 2.755
Ba Cu Fe
1 1 2
Direct
0.502 0.502 0.000
0.201 0.701 0.500
0.990 0.990 0.000
0.807 0.307 0.500
```

Computed properties:
Calculated density, g/cm³: 6.374
Electronic total energy, eV per formula unit: -19.891
Fermi-level density of states, states/eV/atom: 0.82